Entry P
This record from Alexandria describes a relaxed structure of PuPaCoPt. The functional is PBE-GGA.

Total magnetization in μB/f.u.: 4.27
V in Å³ per cell: 286.3

a b c (Å): 6.5911 6.5911 6.5911
angles (deg): 90.00 90.00 90.00
Closest atoms and distances in Å follow each position.
Fractional coordinates of all 16 atoms:
Pu (0.0000, 0.0000, 0.0000)  4 Pa 2.85, 4 Co 2.85
Pu (0.0000, 0.5000, 0.5000)  4 Pa 2.85, 4 Co 2.85
Pu (0.5000, 0.0000, 0.5000)  4 Pa 2.85, 4 Co 2.85
Pu (0.5000, 0.5000, 0.0000)  4 Pa 2.85, 4 Co 2.85
Pa (0.2500, 0.2500, 0.7500)  4 Pu 2.85, 4 Pt 2.85
Pa (0.2500, 0.7500, 0.2500)  4 Pu 2.85, 4 Pt 2.85
Pa (0.7500, 0.2500, 0.2500)  4 Pu 2.85, 4 Pt 2.85
Pa (0.7500, 0.7500, 0.7500)  4 Pu 2.85, 4 Pt 2.85
Co (0.2500, 0.2500, 0.2500)  4 Pu 2.85, 4 Pt 2.85
Co (0.2500, 0.7500, 0.7500)  4 Pu 2.85, 4 Pt 2.85
Co (0.7500, 0.2500, 0.7500)  4 Pu 2.85, 4 Pt 2.85
Co (0.7500, 0.7500, 0.2500)  4 Pu 2.85, 4 Pt 2.85
Pt (0.0000, 0.0000, 0.5000)  4 Co 2.85, 4 Pa 2.85
Pt (0.0000, 0.5000, 0.0000)  4 Co 2.85, 4 Pa 2.85
Pt (0.5000, 0.0000, 0.0000)  4 Co 2.85, 4 Pa 2.85
Pt (0.5000, 0.5000, 0.5000)  4 Pa 2.85, 4 Co 2.85


Entry Q
This record from Alexandria describes a relaxed structure of PuPaCoPt. The functional is PBE-GGA.

Total magnetization in μB/f.u.: 4.26
V in Å³ per cell: 281.0

a b c (Å): 6.5503 6.5503 6.5503
angles (deg): 90.00 90.00 90.00
Closest atoms and distances in Å follow each position.
Fractional coordinates of all 16 atoms:
Pu (0.0000, 0.0000, 0.0000)  4 Pa 2.84, 4 Pt 2.84
Pu (0.0000, 0.5000, 0.5000)  4 Pa 2.84, 4 Pt 2.84
Pu (0.5000, 0.0000, 0.5000)  4 Pa 2.84, 4 Pt 2.84
Pu (0.5000, 0.5000, 0.0000)  4 Pt 2.84, 4 Pa 2.84
Pa (0.2500, 0.2500, 0.7500)  4 Co 2.84, 4 Pu 2.84
Pa (0.2500, 0.7500, 0.2500)  4 Co 2.84, 4 Pu 2.84
Pa (0.7500, 0.2500, 0.2500)  4 Co 2.84, 4 Pu 2.84
Pa (0.7500, 0.7500, 0.7500)  4 Co 2.84, 4 Pu 2.84
Co (0.0000, 0.0000, 0.5000)  4 Pa 2.84, 4 Pt 2.84
Co (0.0000, 0.5000, 0.0000)  4 Pa 2.84, 4 Pt 2.84
Co (0.5000, 0.0000, 0.0000)  4 Pa 2.84, 4 Pt 2.84
Co (0.5000, 0.5000, 0.5000)  4 Pa 2.84, 4 Pt 2.84
Pt (0.2500, 0.2500, 0.2500)  4 Co 2.84, 4 Pu 2.84
Pt (0.2500, 0.7500, 0.7500)  4 Co 2.84, 4 Pu 2.84
Pt (0.7500, 0.2500, 0.7500)  4 Co 2.84, 4 Pu 2.84
Pt (0.7500, 0.7500, 0.2500)  4 Co 2.84, 4 Pu 2.84


Most stable structure - entry Q; separation to the second - 2.4 kJ/mol of atoms.


Entry P
This record from Alexandria describes a relaxed structure of PaCoRe2. The functional is PBE-GGA.

Total magnetization in μB/f.u.: 0.15
V in Å³ per cell: 227.3

a b c (Å): 4.4104 4.4104 13.4953
angles (deg): 90.00 90.00 120.00
Closest atoms and distances in Å follow each position.
Fractional coordinates of all 12 atoms:
Pa (0.0000, 0.0000, 0.0000)  2 Re 2.58
Pa (0.3333, 0.6667, 0.6667)  2 Re 2.58
Pa (0.6667, 0.3333, 0.3333)  2 Re 2.58
Co (0.0000, 0.0000, 0.5000)  6 Re 2.57
Co (0.3333, 0.6667, 0.1667)  6 Re 2.57
Co (0.6667, 0.3333, 0.8333)  6 Re 2.57
Re (0.0000, 0.0000, 0.1911)  3 Co 2.57, 1 Pa 2.58, 3 Re 2.63
Re (0.0000, 0.0000, 0.8089)  3 Co 2.57, 1 Pa 2.58, 3 Re 2.63
Re (0.3333, 0.6667, 0.4755)  3 Co 2.57, 1 Pa 2.58, 3 Re 2.63
Re (0.3333, 0.6667, 0.8578)  3 Co 2.57, 1 Pa 2.58, 3 Re 2.63
Re (0.6667, 0.3333, 0.1422)  3 Co 2.57, 1 Pa 2.58, 3 Re 2.63
Re (0.6667, 0.3333, 0.5245)  3 Co 2.57, 1 Pa 2.58, 3 Re 2.63


Entry Q
This record from Alexandria describes a relaxed structure of PaCoRe2. The functional is PBE-GGA.

Total magnetization in μB/f.u.: 0.00
V in Å³ per cell: 66.0

a b c (Å): 3.9129 3.9129 4.3097
angles (deg): 90.00 90.00 90.00
Closest atoms and distances in Å follow each position.
Fractional coordinates of all 4 atoms:
Pa (0.0000, 0.0000, 0.0000)  4 Co 2.77, 8 Re 2.91
Co (0.5000, 0.5000, 0.0000)  4 Pa 2.77, 8 Re 2.91
Re (0.0000, 0.5000, 0.5000)  4 Re 2.77, 4 Co 2.91, 4 Pa 2.91
Re (0.5000, 0.0000, 0.5000)  4 Re 2.77, 4 Co 2.91, 4 Pa 2.91


Most stable structure - entry Q; separation to the second - 5.8 kJ/mol of atoms.


Entry P
This record from Alexandria describes a relaxed structure of Pa2Co2Rh. The functional is PBE-GGA.

Total magnetization in μB/f.u.: 0.00
V in Å³ per cell: 172.9

a b c (Å): 7.0941 7.0941 3.4349
angles (deg): 90.00 90.00 90.00
Closest atoms and distances in Å follow each position.
Fractional coordinates of all 10 atoms:
Pa (0.1794, 0.3206, 0.0000)  6 Co 2.58-2.80
Pa (0.3206, 0.8206, 0.0000)  6 Co 2.58-2.80
Pa (0.6794, 0.1794, 0.0000)  6 Co 2.58-2.80
Pa (0.8206, 0.6794, 0.0000)  6 Co 2.58-2.80
Co (0.1287, 0.6287, 0.5000)  6 Pa 2.58-2.80, 1 Co 2.58, 2 Rh 2.79
Co (0.3713, 0.1287, 0.5000)  6 Pa 2.58-2.80, 1 Co 2.58, 2 Rh 2.79
Co (0.6287, 0.8713, 0.5000)  6 Pa 2.58-2.80, 1 Co 2.58, 2 Rh 2.79
Co (0.8713, 0.3713, 0.5000)  6 Pa 2.58-2.80, 1 Co 2.58, 2 Rh 2.79
Rh (0.0000, 0.0000, 0.5000)  4 Co 2.79, 8 Pa 3.12
Rh (0.5000, 0.5000, 0.5000)  4 Co 2.79, 8 Pa 3.12


Entry Q
This record from Alexandria describes a relaxed structure of Pa2Co2Rh. The functional is PBE-GGA.

Total magnetization in μB/f.u.: 0.00
V in Å³ per cell: 174.3

a b c (Å): 3.9663 6.1840 7.1072
angles (deg): 90.00 90.00 90.00
Closest atoms and distances in Å follow each position.
Fractional coordinates of all 10 atoms:
Pa (0.0000, 0.0000, 0.2230)  6 Co 2.71-2.82, 2 Rh 2.79
Pa (0.0000, 0.0000, 0.7770)  6 Co 2.71-2.82, 2 Rh 2.79
Pa (0.5000, 0.5000, 0.2770)  6 Co 2.71-2.82, 2 Rh 2.79
Pa (0.5000, 0.5000, 0.7230)  6 Co 2.71-2.82, 2 Rh 2.79
Co (0.0000, 0.3020, 0.5000)  1 Co 2.45, 2 Pa 2.71, 2 Rh 2.72
Co (0.0000, 0.6980, 0.5000)  1 Co 2.45, 2 Pa 2.71, 2 Rh 2.72
Co (0.5000, 0.1980, 0.0000)  1 Co 2.45, 2 Pa 2.71, 2 Rh 2.72
Co (0.5000, 0.8020, 0.0000)  1 Co 2.45, 2 Pa 2.71, 2 Rh 2.72
Rh (0.0000, 0.5000, 0.0000)  4 Co 2.72, 4 Pa 2.79
Rh (0.5000, 0.0000, 0.5000)  4 Co 2.72, 4 Pa 2.79


Most stable structure - entry P; separation to the second - 3.7 kJ/mol of atoms.


Entry P
This record from Alexandria describes a relaxed structure of YPaCoRh. The functional is PBE-GGA.

Total magnetization in μB/f.u.: 0.00
V in Å³ per cell: 162.9

a b c (Å): 3.8966 3.6613 11.4187
angles (deg): 90.00 90.00 90.00
Closest atoms and distances in Å follow each position.
Fractional coordinates of all 8 atoms:
Y (0.0000, 0.0000, 0.0000)  4 Rh 2.83, 1 Co 2.85
Y (0.0000, 0.5000, 0.5000)  4 Rh 2.83, 1 Co 2.85
Pa (0.5000, 0.0000, 0.2729)  4 Co 2.69, 2 Rh 2.85
Pa (0.5000, 0.5000, 0.7729)  4 Co 2.69, 2 Rh 2.85
Co (0.0000, 0.0000, 0.7506)  4 Pa 2.69, 2 Rh 2.75, 1 Y 2.85
Co (0.0000, 0.5000, 0.2506)  4 Pa 2.69, 2 Rh 2.75, 1 Y 2.85
Rh (0.5000, 0.0000, 0.5812)  2 Co 2.75, 4 Y 2.83, 2 Pa 2.85
Rh (0.5000, 0.5000, 0.0812)  2 Co 2.75, 4 Y 2.83, 2 Pa 2.85


Entry Q
This record from Alexandria describes a relaxed structure of YPaCoRh. The functional is PBE-GGA.

Total magnetization in μB/f.u.: 0.00
V in Å³ per cell: 314.4

a b c (Å): 6.8000 6.8000 6.8000
angles (deg): 90.00 90.00 90.00
Closest atoms and distances in Å follow each position.
Fractional coordinates of all 16 atoms:
Y (0.0000, 0.0000, 0.0000)  4 Co 2.94, 4 Rh 2.94
Y (0.0000, 0.5000, 0.5000)  4 Co 2.94, 4 Rh 2.94
Y (0.5000, 0.0000, 0.5000)  4 Co 2.94, 4 Rh 2.94
Y (0.5000, 0.5000, 0.0000)  4 Co 2.94, 4 Rh 2.94
Pa (0.0000, 0.0000, 0.5000)  4 Co 2.94, 4 Rh 2.94
Pa (0.0000, 0.5000, 0.0000)  4 Co 2.94, 4 Rh 2.94
Pa (0.5000, 0.0000, 0.0000)  4 Co 2.94, 4 Rh 2.94
Pa (0.5000, 0.5000, 0.5000)  4 Co 2.94, 4 Rh 2.94
Co (0.2500, 0.2500, 0.2500)  4 Pa 2.94, 4 Y 2.94
Co (0.2500, 0.7500, 0.7500)  4 Pa 2.94, 4 Y 2.94
Co (0.7500, 0.2500, 0.7500)  4 Pa 2.94, 4 Y 2.94
Co (0.7500, 0.7500, 0.2500)  4 Pa 2.94, 4 Y 2.94
Rh (0.2500, 0.2500, 0.7500)  4 Pa 2.94, 4 Y 2.94
Rh (0.2500, 0.7500, 0.2500)  4 Pa 2.94, 4 Y 2.94
Rh (0.7500, 0.2500, 0.2500)  4 Pa 2.94, 4 Y 2.94
Rh (0.7500, 0.7500, 0.7500)  4 Pa 2.94, 4 Y 2.94


Most stable structure - entry P; separation to the second - 19.8 kJ/mol of atoms.


Entry P
This record from Alexandria describes a relaxed structure of PaCoRu. The functional is PBE-GGA.

Total magnetization in μB/f.u.: 0.00
V in Å³ per cell: 214.9

a b c (Å): 3.3905 3.3905 18.6959
angles (deg): 90.00 90.00 90.00
Closest atoms and distances in Å follow each position.
Fractional coordinates of all 12 atoms:
Pa (0.0000, 0.0000, 0.1383)  5 Co 2.70-2.82, 4 Ru 2.71
Pa (0.0000, 0.0000, 0.8617)  5 Co 2.70-2.82, 4 Ru 2.71
Pa (0.5000, 0.5000, 0.3617)  5 Co 2.70-2.82, 4 Ru 2.71
Pa (0.5000, 0.5000, 0.6383)  5 Co 2.70-2.82, 4 Ru 2.71
Co (0.0000, 0.0000, 0.2826)  4 Co 2.69, 5 Pa 2.70-2.82, 1 Ru 2.73
Co (0.0000, 0.0000, 0.7174)  4 Co 2.69, 5 Pa 2.70-2.82, 1 Ru 2.73
Co (0.5000, 0.5000, 0.2174)  4 Co 2.69, 5 Pa 2.70-2.82, 1 Ru 2.73
Co (0.5000, 0.5000, 0.7826)  4 Co 2.69, 5 Pa 2.70-2.82, 1 Ru 2.73
Ru (0.0000, 0.0000, 0.4288)  1 Ru 2.66, 4 Pa 2.71, 1 Co 2.73
Ru (0.0000, 0.0000, 0.5712)  1 Ru 2.66, 4 Pa 2.71, 1 Co 2.73
Ru (0.5000, 0.5000, 0.0712)  1 Ru 2.66, 4 Pa 2.71, 1 Co 2.73
Ru (0.5000, 0.5000, 0.9288)  1 Ru 2.66, 4 Pa 2.71, 1 Co 2.73


Entry Q
This record from Alexandria describes a relaxed structure of PaCoRu. The functional is PBE-GGA.

Total magnetization in μB/f.u.: 0.00
V in Å³ per cell: 53.7

a b c (Å): 4.1191 4.1191 3.6574
angles (deg): 90.00 90.00 120.00
Closest atoms and distances in Å follow each position.
Fractional coordinates of all 3 atoms:
Pa (0.0000, 0.0000, 0.0000)  6 Ru 3.00, 6 Co 3.00
Co (0.6667, 0.3333, 0.5000)  3 Ru 2.38
Ru (0.3333, 0.6667, 0.5000)  3 Co 2.38


Most stable structure - entry Q; separation to the second - 19.7 kJ/mol of atoms.


Entry P
This record from Alexandria describes a relaxed structure of PaCoRu. The functional is PBE-GGA.

Total magnetization in μB/f.u.: 0.19
V in Å³ per cell: 199.9

a b c (Å): 3.8844 12.4929 4.1193
angles (deg): 90.00 90.00 90.00
Closest atoms and distances in Å follow each position.
Fractional coordinates of all 12 atoms:
Pa (0.0000, 0.1011, 0.2500)  4 Ru 2.72-2.74, 6 Co 2.84-3.01
Pa (0.0000, 0.8989, 0.7500)  4 Ru 2.72-2.74, 6 Co 2.84-3.01
Pa (0.5000, 0.3989, 0.7500)  4 Ru 2.72-2.74, 6 Co 2.84-3.01
Pa (0.5000, 0.6011, 0.2500)  4 Ru 2.72-2.74, 6 Co 2.84-3.01
Co (0.0000, 0.4174, 0.2500)  4 Ru 2.82-2.97, 6 Pa 2.84-3.01, 2 Co 2.92
Co (0.0000, 0.5826, 0.7500)  4 Ru 2.82-2.97, 6 Pa 2.84-3.01, 2 Co 2.92
Co (0.5000, 0.0826, 0.7500)  4 Ru 2.82-2.97, 6 Pa 2.84-3.01, 2 Co 2.92
Co (0.5000, 0.9174, 0.2500)  4 Ru 2.82-2.97, 6 Pa 2.84-3.01, 2 Co 2.92
Ru (0.0000, 0.2463, 0.7500)  4 Pa 2.72-2.74, 4 Co 2.82-2.97, 4 Ru 2.83
Ru (0.0000, 0.7537, 0.2500)  4 Pa 2.72-2.74, 4 Co 2.82-2.97, 4 Ru 2.83
Ru (0.5000, 0.2537, 0.2500)  4 Pa 2.72-2.74, 4 Co 2.82-2.97, 4 Ru 2.83
Ru (0.5000, 0.7463, 0.7500)  4 Pa 2.72-2.74, 4 Co 2.82-2.97, 4 Ru 2.83


Entry Q
This record from Alexandria describes a relaxed structure of PaCoRu. The functional is PBE-GGA.

Total magnetization in μB/f.u.: 0.00
V in Å³ per cell: 197.7

a b c (Å): 3.9014 12.9822 3.9031
angles (deg): 90.00 90.00 90.00
Closest atoms and distances in Å follow each position.
Fractional coordinates of all 12 atoms:
Pa (0.0000, 0.1097, 0.2500)  4 Co 2.67, 4 Ru 2.77
Pa (0.0000, 0.8903, 0.7500)  4 Co 2.67, 4 Ru 2.77
Pa (0.5000, 0.3903, 0.7500)  4 Co 2.67, 4 Ru 2.77
Pa (0.5000, 0.6097, 0.2500)  4 Co 2.67, 4 Ru 2.77
Co (0.0000, 0.2496, 0.7500)  4 Pa 2.67, 4 Co 2.76, 4 Ru 2.84
Co (0.0000, 0.7504, 0.2500)  4 Pa 2.67, 4 Co 2.76, 4 Ru 2.84
Co (0.5000, 0.2504, 0.2500)  4 Pa 2.67, 4 Co 2.76, 4 Ru 2.84
Co (0.5000, 0.7496, 0.7500)  4 Pa 2.67, 4 Co 2.76, 4 Ru 2.84
Ru (0.0000, 0.4090, 0.2500)  4 Pa 2.77, 4 Co 2.84, 2 Ru 3.06
Ru (0.0000, 0.5910, 0.7500)  4 Pa 2.77, 4 Co 2.84, 2 Ru 3.06
Ru (0.5000, 0.0910, 0.7500)  4 Pa 2.77, 4 Co 2.84, 2 Ru 3.06
Ru (0.5000, 0.9090, 0.2500)  4 Pa 2.77, 4 Co 2.84, 2 Ru 3.06


Entry R
This record from Alexandria describes a relaxed structure of PaCoRu. The functional is PBE-GGA.

Total magnetization in μB/f.u.: 0.00
V in Å³ per cell: 101.3

a b c (Å): 3.6102 3.6102 7.7729
angles (deg): 90.00 90.00 90.00
Closest atoms and distances in Å follow each position.
Fractional coordinates of all 6 atoms:
Pa (0.0000, 0.0000, 0.0000)  1 Co 2.44, 1 Ru 2.47
Pa (0.5000, 0.5000, 0.5000)  1 Co 2.44, 1 Ru 2.47
Co (0.0000, 0.0000, 0.3143)  1 Pa 2.44
Co (0.5000, 0.5000, 0.8143)  1 Pa 2.44
Ru (0.0000, 0.0000, 0.6820)  1 Pa 2.47, 4 Co 2.75
Ru (0.5000, 0.5000, 0.1820)  1 Pa 2.47, 4 Co 2.75


Most stable structure - entry Q; separation to the second - 15.1 kJ/mol of atoms.